No. 1
Li2Hg2IrO6: optimized geometry, PBE-GGA.

Computed properties:
ΔE_f (raw) ... -0.86 eV/atom
SG ... No. 12
Calculated volume ... 14.2 A^3/atom

Cell: 5.5259 5.5259 6.3752 Å, 82.60 82.60 123.28°
Closest atoms and distances in Å follow each position.
Sites, in units of the cell vectors:
1 Li 0.3259 0.6741 0.5000  6 O 2.09-2.27
2 Li 0.6741 0.3259 0.5000  6 O 2.09-2.27
3 Hg 0.8479 0.1521 0.0000  2 O 2.03
4 Hg 0.1521 0.8479 0.0000  2 O 2.03
5 Ir 0.0000 0.0000 0.5000  6 O 1.83-2.03
6 O 0.6559 0.6559 0.6667  1 Ir 1.83
7 O 0.9414 0.2574 0.6699  1 Hg 2.03, 1 Ir 2.03, 2 Li 2.09-2.10
8 O 0.3441 0.3441 0.3333  1 Ir 1.83
9 O 0.2574 0.9414 0.6699  1 Hg 2.03, 1 Ir 2.03, 2 Li 2.09-2.10
10 O 0.0586 0.7426 0.3301  1 Hg 2.03, 1 Ir 2.03, 2 Li 2.09-2.10
11 O 0.7426 0.0586 0.3301  1 Hg 2.03, 1 Ir 2.03, 2 Li 2.09-2.10

---

No. 2
CaBiI2: optimized geometry, PBE-GGA.

Computed properties:
ΔE_f (raw) ... -0.43 eV/atom
SG ... No. 225
Calculated volume ... 33.5 A^3/atom
ΔE to the lowest computed polymorph ... 0.091 eV per atom

Cell: 5.7458 5.7458 5.7458 Å, 60.00 60.00 60.00°
Closest atoms and distances in Å follow each position.
Sites, in units of the cell vectors:
1 I 0.2500 0.2500 0.2500  4 Bi 3.52, 4 Ca 3.52
2 I 0.7500 0.7500 0.7500  4 Bi 3.52, 4 Ca 3.52
3 Ca 0.0000 0.0000 0.0000  8 I 3.52
4 Bi 0.5000 0.5000 0.5000  8 I 3.52

---

No. 3
CdNi2W: optimized geometry, PBE-GGA.

Computed properties:
SG ... No. 99
ΔE_f ... 0.26 eV/atom
Calculated volume ... 14.5 A^3/atom

Cell: 2.9905 2.9905 6.4848 Å, 90.00 90.00 90.00°
Closest atoms and distances in Å follow each position.
Sites, in units of the cell vectors:
1 Cd 0.5000 0.5000 0.7771  5 Ni 2.73-2.97, 4 Cd 2.99, 4 W 3.02
2 Ni 0.0000 0.0000 0.0423  4 Ni 2.46, 1 W 2.61, 4 Cd 2.73
3 Ni 0.5000 0.5000 0.2355  4 Ni 2.46, 4 W 2.51
4 W 0.0000 0.0000 0.4451  5 Ni 2.51-2.61

---

No. 4
Zr2TePb: optimized geometry, PBE-GGA.

Computed properties:
ΔE_f (raw) ... 0.12 eV/atom
SG ... No. 216
Calculated volume ... 24.8 A^3/atom
ΔE to the lowest computed polymorph ... 0.558 eV per atom

Cell: 5.1940 5.1940 5.1940 Å, 60.00 60.00 60.00°
Closest atoms and distances in Å follow each position.
Sites, in units of the cell vectors:
1 Pb 0.5000 0.5000 0.5000  4 Zr 3.18, 4 Te 3.18
2 Te 0.7500 0.7500 0.7500  4 Pb 3.18, 4 Zr 3.18
3 Zr 0.0000 0.0000 0.0000  4 Zr 3.18, 4 Te 3.18
4 Zr 0.2500 0.2500 0.2500  4 Zr 3.18, 4 Pb 3.18

---

No. 5
TbPrI2: optimized geometry, PBE-GGA.

Computed properties:
ΔE_f (raw) ... -0.73 eV/atom
SG ... No. 166
Calculated volume ... 36.2 A^3/atom
ΔE to the lowest computed polymorph ... 0.063 eV per atom

Cell: 3.9244 3.9244 11.0833 Å, 79.80 79.80 60.00°
Closest atoms and distances in Å follow each position.
Sites, in units of the cell vectors:
1 Pr 0.5000 0.5000 0.5000  6 I 3.25
2 I 0.0949 0.0949 0.7153  1 Tb 3.09, 3 Pr 3.25
3 I 0.9051 0.9051 0.2847  1 Tb 3.09, 3 Pr 3.25
4 Tb 0.0000 0.0000 0.0000  2 I 3.09

---

No. 6
SrSiRu3: optimized geometry, PBE-GGA.

Computed properties:
ΔE_f (raw) ... 2.73 eV/atom
SG ... No. 221
Calculated volume ... 23.2 A^3/atom
ΔE to the lowest computed polymorph ... 2.395 eV per atom

Cell: 4.8769 4.8769 4.8769 Å, 90.00 90.00 90.00°
Closest atoms and distances in Å follow each position.
Sites, in units of the cell vectors:
1 Ru 0.0000 0.5000 0.0000  2 Sr 2.44
2 Ru 0.0000 0.0000 0.5000  2 Sr 2.44
3 Ru 0.5000 0.0000 0.0000  2 Sr 2.44
4 Si 0.5000 0.5000 0.5000  12 Ru 3.45
5 Sr 0.0000 0.0000 0.0000  6 Ru 2.44